No. 1
This record from Alexandria describes Na4Tm3Te8Pb after structural relaxation. The functional is PBE-GGA.

It has space group R-3m (No. 166, hexagonal axes), with a = 8.8396 Å, b = 8.8396 Å, c = 22.7887 Å, α = 90.00°, β = 90.00° and γ = 120.00°. Symmetry generates all atoms from Na at (0.0000, 0.0000, 0.0000), Na at (0.0000, 0.5000, 0.0000), Tm at (0.0000, 0.5000, 0.5000), Te at (0.0000, 0.0000, 0.2429), Te at (0.0114, 0.5057, 0.7561) and Pb at (0.0000, 0.0000, 0.5000).

The crystal system is trigonal. The total magnetic moment comes out at 0.00 μB/f.u. The raw formation energy comes out at -17.23 eV/f.u. The density of states at the Fermi level comes out at 24.0 states/eV per cell.

No. 2
This record from Alexandria describes NaTmTe4Pb2 after structural relaxation. The functional is PBE-GGA.

It has space group P2/m (No. 10), with a = 7.855 Å, b = 4.518 Å, c = 7.864 Å, α = 90.00°, β = 108.63° and γ = 90.00°. Symmetry generates all atoms from Na at (0.000, 0.000, 0.000), Tm at (0.500, 0.500, 0.000), Te at (0.258, 0.500, 0.237), Te at (0.264, 0.000, 0.768), Pb at (0.000, 0.500, 0.500) and Pb at (0.500, 0.000, 0.500).

The crystal system is monoclinic. The total magnetic moment comes out at 0.00 μB/f.u. The raw formation energy comes out at -6.36 eV/f.u.

No. 3
This record from Alexandria describes Na3U2Te6Pb after structural relaxation. The functional is PBE-GGA.

It has space group C2/m (No. 12), with a = 7.851 Å, b = 13.603 Å, c = 7.942 Å, α = 90.00°, β = 109.33° and γ = 90.00°. Symmetry generates all atoms from Na at (0.000, 0.000, 0.000), Na at (0.000, 0.340, 0.000), U at (0.000, 0.168, 0.500), Te at (0.231, 0.000, 0.736), Te at (0.247, 0.174, 0.264) and Pb at (0.000, 0.500, 0.500).

The crystal system is monoclinic. The total magnetic moment comes out at 5.00 μB/f.u. The raw formation energy comes out at -9.06 eV/f.u. The density of states at the Fermi level comes out at 30.5 states/eV per cell.